(1)
# NaTcSnS2, optimized geometry, DFT PBE
data_NaTcSnS2
_chemical_formula_sum 'Na1 Tc1 Sn1 S2'
_cell_length_a 4.919
_cell_length_b 4.919
_cell_length_c 4.912
_cell_angle_alpha 90.00
_cell_angle_beta 90.00
_cell_angle_gamma 90.00
_symmetry_space_group_name_H-M 'P 4/m m m'
_symmetry_Int_Tables_number 123
_symmetry_space_group_name_Hall '-P 4 2'
loop_
_atom_site_label
_atom_site_type_symbol
_atom_site_fract_x
_atom_site_fract_y
_atom_site_fract_z
Na1 Na 0.000 0.000 0.000
Tc1 Tc 0.000 0.000 0.500
Sn1 Sn 0.500 0.500 0.500
S1 S 0.000 0.500 0.000
# energy relative to the elements, uncorrected = 1.134 eV per atom
# total moment = 4.006 μB/cell


(2)
# NdCo5B2, optimized geometry, DFT PBE
data_NdCo5B2
_chemical_formula_sum 'Nd2 Co10 B4'
_cell_length_a 3.430
_cell_length_b 6.256
_cell_length_c 8.607
_cell_angle_alpha 90.00
_cell_angle_beta 90.00
_cell_angle_gamma 90.00
_symmetry_space_group_name_H-M 'I m m m'
_symmetry_Int_Tables_number 71
_symmetry_space_group_name_Hall '-I 2 2'
loop_
_atom_site_label
_atom_site_type_symbol
_atom_site_fract_x
_atom_site_fract_y
_atom_site_fract_z
Nd1 Nd 0.000 0.000 0.000
Co1 Co 0.000 0.187 0.340
Co2 Co 0.000 0.500 0.000
B1 B 0.000 0.500 0.232
# formation energy from the elements = -1.6 eV per formula unit
# total moment = 7.219 μB/cell


(3)
# Ba3Ac2UN6, optimized geometry, DFT PBE
data_Ba3Ac2UN6
_chemical_formula_sum 'Ba6 Ac4 U2 N12'
_cell_length_a 6.636
_cell_length_b 11.540
_cell_length_c 6.787
_cell_angle_alpha 90.00
_cell_angle_beta 108.24
_cell_angle_gamma 90.00
_symmetry_space_group_name_H-M 'C 1 2/m 1'
_symmetry_Int_Tables_number 12
loop_
_symmetry_equiv_pos_as_xyz
'x,y,z'
'-x,-y,-z'
'-x,y,-z'
'x,-y,z'
'x+1/2,y+1/2,z'
'-x+1/2,-y+1/2,-z'
'-x+1/2,y+1/2,-z'
'x+1/2,-y+1/2,z'
loop_
_atom_site_label
_atom_site_type_symbol
_atom_site_fract_x
_atom_site_fract_y
_atom_site_fract_z
Ba1 Ba 0.000 0.000 0.000
Ba2 Ba 0.000 0.339 0.000
Ac1 Ac 0.000 0.166 0.500
U1 U 0.000 0.500 0.500
N1 N 0.203 0.362 0.689
N2 N 0.227 0.500 0.289
# energy relative to the elements, uncorrected = -0.951 eV per atom
# total moment = 0.000 μB/cell